# 1
SrZrHSe2 after structural relaxation, computed with PBE-GGA.

Lattice parameters (Å, degrees): 5.3074 5.3074 3.9923 90.00 90.00 90.00
Element x y z (fractional)
Sr  0.5000  0.5000  0.5000
Zr  0.0000  0.0000  0.0000
H  0.0000  0.0000  0.5000
Se  0.5000  0.0000  0.0000
Se  0.0000  0.5000  0.0000

The density of states at the Fermi level comes out at 0.5718 states/eV per atom.

***

# 2
CdBiCl3 after structural relaxation, computed with PBE-GGA.

Lattice parameters (Å, degrees): 5.4931 5.4931 5.4931 90.00 90.00 90.00
Element x y z (fractional)
Cl  0.0000  0.5000  0.0000
Bi  0.0000  0.0000  0.0000
Cd  0.5000  0.5000  0.5000
Cl  0.0000  0.0000  0.5000
Cl  0.5000  0.0000  0.0000

The calculation puts the raw formation energy at -0.560 eV/atom. The density of states at the Fermi level comes out at 1.0032 states/eV per atom.

***

# 3
Ta2MnBe2Fe5 after structural relaxation, computed with PBE-GGA.

Lattice parameters (Å, degrees): 3.0054 8.6796 8.6796 90.00 90.00 90.00
Site moments in Bohr magnetons follow the coordinates.
Element x y z (fractional)
Ta  0.0000  0.1756  0.3244  0.05
Be  0.0000  0.8790  0.3790  0.01
Fe  0.5000  0.5000  0.0000  -0.15
Fe  0.5000  0.7907  0.9329  -0.28
Fe  0.5000  0.2093  0.0671  -0.28
Be  0.0000  0.3790  0.1210  0.01
Fe  0.5000  0.9329  0.2093  -0.28
Mn  0.0000  0.0000  0.0000  2.36
Fe  0.5000  0.2907  0.5671  -0.28
Fe  0.5000  0.0671  0.7907  -0.28
Ta  0.0000  0.8244  0.6756  0.05
Fe  0.5000  0.4329  0.2907  -0.28
Fe  0.5000  0.5671  0.7093  -0.28
Be  0.0000  0.1210  0.6210  0.01
Mn  0.0000  0.5000  0.5000  2.36
Ta  0.0000  0.6756  0.1756  0.05
Fe  0.5000  0.7093  0.4329  -0.28
Ta  0.0000  0.3244  0.8244  0.05
Fe  0.5000  0.0000  0.5000  -0.15
Be  0.0000  0.6210  0.8790  0.01

The density of states at the Fermi level comes out at 0.9115 states/eV per atom. As for the formation energy: -14.2 kJ/mol of atoms.

***

Number 1: calculated density 5.0 g/cm3, DFT total energy -5.33 eV/atom, volume 112 Å³/cell. Number 2: calculated density 4.3 g/cm3, DFT total energy -2.63 eV/atom, volume 166 Å³/cell. Number 3: calculated density 10.5 g/cm3, DFT total energy -8.41 eV/atom, volume 226 Å³/cell.